Here is crystalline In2PtBr at its relaxed geometry from Alexandria via LeMat-Bulk. Energies are from PBE.

Values from the calculation:
ΔE_f (raw): -0.3203 eV/atom
VASP energy: -28.943 eV/cell
Distance to the lowest polymorph of the same formula: 0.0996 eV/atom
Magnetization: 0.000 Bohr magnetons per cell

Lattice parameters (Å, degrees): 3.631 3.662 15.435 90.00 90.00 90.00
Space group Imm2 (No. 44)
One atom of each set of equivalent atoms:
In1 0.000 0.000 0.000 (multiplicity 2)
In2 0.000 0.500 0.201 (multiplicity 2)
Pt1 0.000 0.000 0.561 (multiplicity 2)
Br1 0.000 0.500 0.830 (multiplicity 2)